# 1
First-principles (PBE-GGA) data for a relaxed structure of BaCaSc2, as listed in Alexandria.

```
4
Lattice="12.0408 -0.0104 -0.0061 11.4910 3.5971 -0.0061 11.4910 1.7515 3.1419" Properties=species:S:1:pos:R:3 pbc="T T T"
Sc 9.1018 1.3873 0.8134
Ca 25.9433 3.9543 2.3184
Ba 17.7295 2.7024 1.5844
Sc 34.7823 5.3016 3.1083
```

The value obtained for the calculated volume is 136.7 Å³ per cell. For the final energy, the calculation gives -3.878 eV per atom. Its mass density is 3.2 g/cm³. As for the energy of formation from the pure elements: 269 meV per atom.

# 2
First-principles (PBE-GGA) data for a relaxed structure of SrCaNdTm, as listed in Alexandria.

```
4
Lattice="6.0025 0.0000 0.0000 3.0012 5.1983 0.0000 3.0012 1.7328 4.9010" Properties=species:S:1:pos:R:3 pbc="T T T"
Nd 9.0037 5.1983 3.6757
Ca 6.0025 3.4655 2.4505
Tm 0.0000 0.0000 0.0000
Sr 3.0012 1.7328 1.2252
```

The value obtained for the calculated volume is 152.9 Å³ per cell. For the final energy, the calculation gives -3.046 eV per atom. Its mass density is 4.8 g/cm³. As for the energy of formation from the pure elements: 185 meV per atom.

# 3
First-principles (PBE-GGA) data for a relaxed structure of TbSm7Tl5, as listed in Alexandria.

```
13
Lattice="-5.4502 3.8614 -0.5772 -5.9615 -3.3364 -4.9648 -5.9403 -1.7040 5.7558" Properties=species:S:1:pos:R:3 pbc="T T T"
Sm -7.8226 0.5879 -0.0740
Sm -5.9395 -2.2418 2.1504
Tl -5.6503 1.1725 2.4579
Tl -13.0420 -0.9229 0.1663
Tl -2.8884 -1.5727 -2.3800
Sm -4.1725 -0.0664 0.0184
Sm -8.5597 0.0712 3.4293
Sm -8.5729 -0.9476 -3.2620
Sm -5.9464 -2.7767 -1.3627
Tl -5.6605 0.3912 -2.6736
Tl -2.8783 -0.7914 2.7514
Tb -5.6810 3.5429 -0.5282
Sm -9.9456 -2.3413 0.3762
```

The value obtained for the calculated volume is 402.7 Å³ per cell. For the final energy, the calculation gives -3.976 eV per atom. Its mass density is 9.2 g/cm³. As for the energy of formation from the pure elements: -169 meV per atom.

# 4
First-principles (PBE-GGA) data for a relaxed structure of Pr3In4Sn2, as listed in Alexandria.

```
9
Lattice="4.4975 0.0000 0.0000 0.0000 8.0703 0.0000 0.0000 -4.0351 6.9890" Properties=species:S:1:pos:R:3 pbc="T T T"
Sn 0.0000 4.0351 2.3297
Pr 2.2487 2.4630 4.2660
Sn 0.0000 0.0000 4.6594
Pr 2.2487 3.1443 0.0000
In 2.2487 0.0000 0.0000
In 0.0000 1.0580 1.8325
In 0.0000 -2.9771 5.1566
Pr 2.2487 -1.5722 2.7230
In 0.0000 5.9543 0.0000
```

The value obtained for the calculated volume is 253.7 Å³ per cell. For the final energy, the calculation gives -4.215 eV per atom. Its mass density is 7.3 g/cm³. As for the energy of formation from the pure elements: -516 meV per atom.

# 5
First-principles (PBE-GGA) data for a relaxed structure of KTlInAu, as listed in Alexandria.

```
4
Lattice="-2.0388 4.0800 1.6249 -2.6617 2.7310 -2.9833 -6.6860 -0.9373 1.1781" Properties=species:S:1:pos:R:3 pbc="T T T"
K -7.5821 5.0053 -0.4404
Tl -6.2849 -0.6860 1.0503
Au -3.8262 4.1067 -0.6850
In -2.6037 1.6206 -0.1225
```

The value obtained for the calculated volume is 127.0 Å³ per cell. For the final energy, the calculation gives -2.553 eV per atom. Its mass density is 7.3 g/cm³. As for the energy of formation from the pure elements: -183 meV per atom.

# 6
First-principles (PBE-GGA) data for a relaxed structure of Na3Te4Pd4, as listed in Alexandria.

```
11
Lattice="4.8390 0.0000 0.0000 0.0000 4.8914 0.0000 -2.4195 -2.4457 12.2572" Properties=species:S:1:pos:R:3 pbc="T T T"
Te 0.0000 2.4457 2.2067
Pd 2.4195 0.0000 7.3314
Te 2.4195 2.4457 6.1651
Na 0.0000 2.4457 8.9517
Pd 2.4195 2.4457 1.3308
Pd 0.0000 0.0000 10.9264
Na 2.4195 0.0000 3.3055
Pd 0.0000 2.4457 4.9258
Na 0.0000 0.0000 0.0000
Te 2.4195 0.0000 10.0505
Te 0.0000 0.0000 6.0922
```

The value obtained for the calculated volume is 290.1 Å³ per cell. For the final energy, the calculation gives -3.820 eV per atom. Its mass density is 5.8 g/cm³. The uncorrected formation energy is -0.430 eV/atom.

Repeat the second record exactly.
First-principles (PBE-GGA) data for a relaxed structure of SrCaNdTm, as listed in Alexandria.

```
4
Lattice="6.0025 0.0000 0.0000 3.0012 5.1983 0.0000 3.0012 1.7328 4.9010" Properties=species:S:1:pos:R:3 pbc="T T T"
Nd 9.0037 5.1983 3.6757
Ca 6.0025 3.4655 2.4505
Tm 0.0000 0.0000 0.0000
Sr 3.0012 1.7328 1.2252
```

The value obtained for the calculated volume is 152.9 Å³ per cell. For the final energy, the calculation gives -3.046 eV per atom. Its mass density is 4.8 g/cm³. As for the energy of formation from the pure elements: 185 meV per atom.

Among the records above, which one has the highest mass density? TbSm7Tl5

What is the formula in the sixth record? Na3Te4Pd4